(1)
! MgGa2Tc2 (PBE-GGA, optimized geometry); values from VASP
&SYSTEM
  ibrav = 0, nat = 5, ntyp = 3
/
ATOMIC_SPECIES
Mg 24.30 Mg.upf
Ga 69.72 Ga.upf
Tc 98.00 Tc.upf
ATOMIC_POSITIONS crystal
Mg 0.0000 0.0000 0.0000
Ga 0.3978 0.3978 0.0000
Ga 0.6022 0.6022 0.0000
Tc 0.2500 0.7500 0.5000
Tc 0.7500 0.2500 0.5000
CELL_PARAMETERS angstrom
-1.8997 1.8997 5.9271
1.8997 -1.8997 5.9271
1.8997 1.8997 -5.9271
! Density = 7.0 Mg/m³
! Relative energy among the computed polymorphs = 21.0 kJ/mol of atoms
! Fermi-level density of states = 4.58 states/eV per cell
! Calculated volume = 85.6 Å³ per cell
! ΔH_f (0 K) = 114.3 meV/atom



(2)
! MgGa3Tc (PBE-GGA, optimized geometry); values from VASP
&SYSTEM
  ibrav = 0, nat = 5, ntyp = 3
/
ATOMIC_SPECIES
Mg 24.30 Mg.upf
Ga 69.72 Ga.upf
Tc 98.00 Tc.upf
ATOMIC_POSITIONS crystal
Mg 0.0000 0.0000 0.0000
Ga 0.0000 0.5000 0.5000
Ga 0.5000 0.0000 0.5000
Ga 0.5000 0.5000 0.0000
Tc 0.5000 0.5000 0.5000
CELL_PARAMETERS angstrom
4.8306 0.0000 0.0000
0.0000 4.8306 0.0000
0.0000 0.0000 4.8306
! Density = 4.9 Mg/m³
! Relative energy among the computed polymorphs = 0.0 kJ/mol of atoms
! Fermi-level density of states = 4.21 states/eV per cell
! Calculated volume = 112.7 Å³ per cell
! ΔH_f (0 K) = 158.6 meV/atom



(3)
! MgTiGaTc (PBE-GGA, optimized geometry); values from VASP
&SYSTEM
  ibrav = 0, nat = 4, ntyp = 4
/
ATOMIC_SPECIES
Mg 24.30 Mg.upf
Ti 47.87 Ti.upf
Ga 69.72 Ga.upf
Tc 98.00 Tc.upf
ATOMIC_POSITIONS crystal
Mg 0.0000 0.0000 0.0000
Ti 0.5000 0.5000 0.5000
Ga 0.2500 0.2500 0.2500
Tc 0.7500 0.7500 0.7500
CELL_PARAMETERS angstrom
0.0000 3.1560 3.1560
3.1560 0.0000 3.1560
3.1560 3.1560 0.0000
! Density = 6.3 Mg/m³
! Fermi-level density of states = 1.84 states/eV per cell
! Calculated volume = 62.9 Å³ per cell
! ΔH_f (0 K) = -153.3 meV/atom



(4)
! Y2MgGaTc (PBE-GGA, optimized geometry); values from VASP
&SYSTEM
  ibrav = 0, nat = 5, ntyp = 4
/
ATOMIC_SPECIES
Y 88.91 Y.upf
Mg 24.30 Mg.upf
Ga 69.72 Ga.upf
Tc 98.00 Tc.upf
ATOMIC_POSITIONS crystal
Y 0.0000 0.5000 0.0000
Y 0.5000 0.0000 0.0000
Mg 0.0000 0.0000 0.5000
Ga 0.5000 0.5000 0.0000
Tc 0.5000 0.5000 0.5000
CELL_PARAMETERS angstrom
5.4404 0.0000 0.0000
0.0000 5.4404 0.0000
0.0000 0.0000 4.6145
! Density = 4.5 Mg/m³
! Fermi-level density of states = 6.32 states/eV per cell
! Calculated volume = 136.6 Å³ per cell
! ΔH_f (0 K) = 367.4 meV/atom